Below is a crystal of Tl2FeRu relaxed with PBEsol, with properties calculated at the SCAN level.

Output
ρ   13.213 g cm⁻³
Size of the total moment   0.902 μB per atom
E above lowest polymorph   0 meV per atom
Crystal system   monoclinic
Formation energy   534 meV/atom

Cell lengths 10.4054, 3.0827, 4.6849 Å; angles 90.00, 108.89, 90.00 degrees
Space group Cm (No. 8)
Inequivalent atoms, fractional coordinates:
Tl1 0.0000 0.0000 0.0000 [2 per cell]
Tl2 0.2152 0.0000 0.6507 [2 per cell]
Fe1 0.4495 0.0000 0.4602 [2 per cell]
Ru1 0.2618 0.5000 0.1849 [2 per cell]

Below is a crystal of VFeRu2 relaxed with PBEsol, with properties calculated at the SCAN level.

Output
ρ   10.001 g cm⁻³
Size of the total moment   1.166 μB per atom
Crystal system   cubic
Formation energy   -272 meV/atom

Cell lengths 5.8979, 5.8979, 5.8979 Å; angles 90.00, 90.00, 90.00 degrees
Space group Fm-3m (No. 225)
Inequivalent atoms, fractional coordinates:
V1 0.0000 0.0000 0.0000 [4 per cell]
Fe1 0.0000 0.0000 0.5000 [4 per cell]
Ru1 0.2500 0.2500 0.2500 [8 per cell]

Below is a crystal of Fe2RuW relaxed with PBEsol, with properties calculated at the SCAN level.

Output
ρ   12.693 g cm⁻³
Size of the total moment   1.409 μB per atom
E above lowest polymorph   108 meV per atom
Crystal system   monoclinic
Formation energy   133 meV/atom

Cell lengths 5.0943, 8.2324, 2.6096 Å; angles 90.00, 108.53, 90.00 degrees
Space group C2/m (No. 12)
Inequivalent atoms, fractional coordinates:
Fe1 0.2500 0.2500 0.0000 [4 per cell]
Ru1 0.0000 0.0000 0.5000 [2 per cell]
W1 0.0000 0.5000 0.5000 [2 per cell]

Below is a crystal of FeRuW relaxed with PBEsol, with properties calculated at the SCAN level.

Output
ρ   11.707 g cm⁻³
Size of the total moment   1.017 μB per atom
Crystal system   cubic
Formation energy   667 meV/atom

Cell lengths 5.7824, 5.7824, 5.7824 Å; angles 90.00, 90.00, 90.00 degrees
Space group F-43m (No. 216)
Inequivalent atoms, fractional coordinates:
Fe1 0.0000 0.0000 0.0000 [4 per cell]
Ru1 0.2500 0.2500 0.2500 [4 per cell]
W1 0.0000 0.0000 0.5000 [4 per cell]

Below is a crystal of Fe4RuW relaxed with PBEsol, with properties calculated at the SCAN level.

Output
ρ   12.191 g cm⁻³
Size of the total moment   1.147 μB per atom
Crystal system   cubic
Formation energy   97 meV/atom

Cell lengths 6.5182, 6.5182, 6.5182 Å; angles 90.00, 90.00, 90.00 degrees
Space group F-43m (No. 216)
Inequivalent atoms, fractional coordinates:
Fe1 0.1245 0.1245 0.3755 [16 per cell]
Ru1 0.2500 0.2500 0.7500 [4 per cell]
W1 0.0000 0.0000 0.0000 [4 per cell]

Below is a crystal of Fe2RuW relaxed with PBEsol, with properties calculated at the SCAN level.

Output
ρ   13.457 g cm⁻³
Size of the total moment   0.931 μB per atom
E above lowest polymorph   216 meV per atom
Crystal system   orthorhombic
Formation energy   242 meV/atom

Cell lengths 5.2144, 7.1265, 2.6340 Å; angles 90.00, 90.00, 90.00 degrees
Space group Cmmm (No. 65)
Inequivalent atoms, fractional coordinates:
Fe1 0.2500 0.2500 0.0000 [4 per cell]
Ru1 0.0000 0.0000 0.5000 [2 per cell]
W1 0.0000 0.5000 0.5000 [2 per cell]

Below is a crystal of Fe2RuW relaxed with PBEsol, with properties calculated at the SCAN level.

Output
ρ   13.361 g cm⁻³
Size of the total moment   0.706 μB per atom
E above lowest polymorph   233 meV per atom
Crystal system   orthorhombic
Formation energy   259 meV/atom

Cell lengths 3.9762, 2.6047, 9.5185 Å; angles 90.00, 90.00, 90.00 degrees
Space group Amm2 (No. 38)
Inequivalent atoms, fractional coordinates:
Fe1 0.0000 0.0000 0.0000 [2 per cell]
Fe2 0.5000 0.0000 0.1210 [2 per cell]
Ru1 0.5000 0.0000 0.3977 [2 per cell]
W1 0.0000 0.0000 0.7370 [2 per cell]

Below is a crystal of FeRu2W relaxed with PBEsol, with properties calculated at the SCAN level.

Output
ρ   13.829 g cm⁻³
Size of the total moment   0.729 μB per atom
E above lowest polymorph   109 meV per atom
Crystal system   tetragonal
Formation energy   132 meV/atom

Cell lengths 2.6956, 2.6956, 7.3012 Å; angles 90.00, 90.00, 90.00 degrees
Space group P4/mmm (No. 123)
Inequivalent atoms, fractional coordinates:
Fe1 0.0000 0.0000 0.0000 [1 per cell]
Ru1 0.5000 0.5000 0.2297 [2 per cell]
W1 0.0000 0.0000 0.5000 [1 per cell]

Below is a crystal of Fe2RuW relaxed with PBEsol, with properties calculated at the SCAN level.

Output
ρ   13.478 g cm⁻³
Size of the total moment   0.846 μB per atom
E above lowest polymorph   109 meV per atom
Crystal system   tetragonal
Formation energy   135 meV/atom

Cell lengths 3.6799, 3.6799, 3.6084 Å; angles 90.00, 90.00, 90.00 degrees
Space group P4/mmm (No. 123)
Inequivalent atoms, fractional coordinates:
Fe1 0.0000 0.5000 0.0000 [2 per cell]
Ru1 0.0000 0.0000 0.5000 [1 per cell]
W1 0.5000 0.5000 0.5000 [1 per cell]

Below is a crystal of FeRu2W relaxed with PBEsol, with properties calculated at the SCAN level.

Output
ρ   13.646 g cm⁻³
Size of the total moment   0.817 μB per atom
E above lowest polymorph   178 meV per atom
Crystal system   orthorhombic
Formation energy   201 meV/atom

Cell lengths 2.8462, 4.3370, 8.7111 Å; angles 90.00, 90.00, 90.00 degrees
Space group Immm (No. 71)
Inequivalent atoms, fractional coordinates:
Fe1 0.0000 0.0000 0.0000 [2 per cell]
Ru1 0.0000 0.5000 0.2721 [4 per cell]
W1 0.0000 0.0000 0.5000 [2 per cell]

Below is a crystal of FeRu2W relaxed with PBEsol, with properties calculated at the SCAN level.

Output
ρ   13.921 g cm⁻³
Size of the total moment   0.386 μB per atom
E above lowest polymorph   0 meV per atom
Crystal system   tetragonal
Formation energy   24 meV/atom

Cell lengths 3.7626, 3.7626, 3.7225 Å; angles 90.00, 90.00, 90.00 degrees
Space group P4/mmm (No. 123)
Inequivalent atoms, fractional coordinates:
Fe1 0.0000 0.0000 0.0000 [1 per cell]
Ru1 0.0000 0.5000 0.5000 [2 per cell]
W1 0.5000 0.5000 0.0000 [1 per cell]

Below is a crystal of Fe2RuW relaxed with PBEsol, with properties calculated at the SCAN level.

Output
ρ   12.816 g cm⁻³
Size of the total moment   1.252 μB per atom
E above lowest polymorph   0 meV per atom
Crystal system   tetragonal
Formation energy   26 meV/atom

Cell lengths 2.9794, 2.9794, 5.7891 Å; angles 90.00, 90.00, 90.00 degrees
Space group P4mm (No. 99)
Inequivalent atoms, fractional coordinates:
Fe1 0.0000 0.0000 0.0000 [1 per cell]
Fe2 0.5000 0.5000 0.2140 [1 per cell]
Ru1 0.0000 0.0000 0.4801 [1 per cell]
W1 0.5000 0.5000 0.7502 [1 per cell]

Below is a crystal of ZnFeRu relaxed with PBEsol, with properties calculated at the SCAN level.

Output
ρ   9.640 g cm⁻³
Size of the total moment   1.141 μB per atom
E above lowest polymorph   75 meV per atom
Crystal system   orthorhombic
Formation energy   109 meV/atom

Cell lengths 2.7996, 4.3087, 12.6998 Å; angles 90.00, 90.00, 90.00 degrees
Space group Fmm2 (No. 42)
Inequivalent atoms, fractional coordinates:
Zn1 0.0000 0.0000 0.0000 [4 per cell]
Fe1 0.0000 0.0000 0.6643 [4 per cell]
Ru1 0.0000 0.0000 0.3253 [4 per cell]

Below is a crystal of ZnFeRu relaxed with PBEsol, with properties calculated at the SCAN level.

Output
ρ   9.646 g cm⁻³
Size of the total moment   1.281 μB per atom
E above lowest polymorph   0 meV per atom
Crystal system   trigonal
Formation energy   34 meV/atom

Cell lengths 4.1617, 4.1617, 2.5517 Å; angles 90.00, 90.00, 120.00 degrees
Space group P3m1 (No. 156)
Inequivalent atoms, fractional coordinates:
Zn1 0.0000 0.0000 0.0000 [1 per cell]
Fe1 0.3333 0.6667 0.3025 [1 per cell]
Ru1 0.6667 0.3333 0.5927 [1 per cell]

Below is a crystal of Zn2FeRu relaxed with PBEsol, with properties calculated at the SCAN level.

Output
ρ   9.378 g cm⁻³
Size of the total moment   0.872 μB per atom
E above lowest polymorph   104 meV per atom
Crystal system   tetragonal
Formation energy   29 meV/atom

Cell lengths 3.0670, 3.0670, 5.4161 Å; angles 90.00, 90.00, 90.00 degrees
Space group P4/mmm (No. 123)
Inequivalent atoms, fractional coordinates:
Zn1 0.0000 0.0000 0.2454 [2 per cell]
Fe1 0.5000 0.5000 0.0000 [1 per cell]
Ru1 0.5000 0.5000 0.5000 [1 per cell]

Below is a crystal of Zn2FeRu relaxed with PBEsol, with properties calculated at the SCAN level.

Output
ρ   9.327 g cm⁻³
Size of the total moment   0.964 μB per atom
E above lowest polymorph   0 meV per atom
Crystal system   tetragonal
Formation energy   -75 meV/atom

Cell lengths 3.6651, 3.6651, 3.8135 Å; angles 90.00, 90.00, 90.00 degrees
Space group P4/mmm (No. 123)
Inequivalent atoms, fractional coordinates:
Zn1 0.0000 0.5000 0.0000 [2 per cell]
Fe1 0.0000 0.0000 0.5000 [1 per cell]
Ru1 0.5000 0.5000 0.5000 [1 per cell]